Material: Nd2Th2In3
Method: DFT, PBE
State: relaxed

Calculated values
Its formation energy is -31.7 kJ per mole of atoms. The crystal system is triclinic. The total moment comes out at 0.00 μB per formula unit.

Cell lengths 3.691, 4.493, 12.762 Å; angles 100.10, 98.24, 90.08 degrees
Positions (direct):
Nd 0.071 0.070 0.141
Nd 0.929 0.930 0.859
Th 0.209 0.209 0.419
Th 0.791 0.791 0.581
In 0.359 0.359 0.718
In 0.500 0.500 0.000
In 0.641 0.641 0.282

=====

Material: KLiMnCl6
Method: DFT, PBE
State: relaxed

Calculated values
The crystal system is trigonal. The calculation puts the energy relative to the elements, uncorrected at -1.32 eV per atom. The total moment comes out at 3.12 μB per formula unit.

Cell lengths 6.399, 6.399, 6.901 Å; angles 90.00, 90.00, 120.00 degrees
Positions (direct):
K 0.000 0.000 0.000
Li 0.333 0.667 0.500
Mn 0.667 0.333 0.500
Cl 0.386 0.031 0.693
Cl 0.386 0.355 0.307
Cl 0.645 0.031 0.307
Cl 0.645 0.614 0.693
Cl 0.969 0.355 0.693
Cl 0.969 0.614 0.307

=====

Material: RbCoAs
Method: DFT, PBE
State: relaxed

Calculated values
Its formation energy is -1.5 kJ per mole of atoms. The crystal system is hexagonal. The total moment comes out at 0.00 μB per formula unit.

Cell lengths 3.959, 3.959, 5.701 Å; angles 90.00, 90.00, 120.00 degrees
Positions (direct):
Rb 0.000 0.000 0.000
Co 0.333 0.667 0.500
As 0.667 0.333 0.500

=====

Material: Y4AlNi3
Method: DFT, PBE
State: relaxed

Calculated values
Its formation energy is -39.4 kJ per mole of atoms. The crystal system is orthorhombic. The total moment comes out at 0.00 μB per formula unit.

Cell lengths 3.756, 4.297, 10.618 Å; angles 90.00, 90.00, 90.00 degrees
Positions (direct):
Y 0.000 0.000 0.000
Y 0.000 0.500 0.264
Y 0.500 0.000 0.474
Y 0.500 0.500 0.780
Al 0.000 0.000 0.694
Ni 0.000 0.500 0.560
Ni 0.500 0.000 0.201
Ni 0.500 0.500 0.064

=====

Material: InCo2Br8
Method: DFT, PBE
State: relaxed

Calculated values
The crystal system is monoclinic. The calculation puts the energy relative to the elements, uncorrected at -0.45 eV per atom. The total moment comes out at 7.00 μB per formula unit.

Cell lengths 8.260, 8.260, 6.540 Å; angles 91.69, 91.69, 66.17 degrees
Positions (direct):
In 0.000 0.000 0.000
Co 0.178 0.178 0.609
Co 0.822 0.822 0.391
Br 0.111 0.712 0.241
Br 0.170 0.170 0.249
Br 0.288 0.889 0.759
Br 0.336 0.336 0.715
Br 0.664 0.664 0.285
Br 0.712 0.111 0.241
Br 0.830 0.830 0.751
Br 0.889 0.288 0.759

=====

Material: RbLiPtF6
Method: DFT, PBE
State: relaxed

Calculated values
The crystal system is orthorhombic. The calculation puts the energy relative to the elements, uncorrected at -2.00 eV per atom. The total moment comes out at 0.11 μB per formula unit.

Cell lengths 7.483, 7.483, 7.483 Å; angles 122.31, 120.36, 87.71 degrees
Positions (direct):
Rb 0.312 0.062 0.250
Rb 0.688 0.938 0.750
Li 0.000 0.000 0.500
Li 0.000 0.500 0.000
Pt 0.000 0.500 0.500
Pt 0.500 0.500 0.000
F 0.058 0.808 0.250
F 0.073 0.411 0.251
F 0.073 0.822 0.662
F 0.322 0.572 0.750
F 0.341 0.178 0.751
F 0.341 0.589 0.162
F 0.659 0.411 0.838
F 0.659 0.822 0.249
F 0.678 0.428 0.250
F 0.927 0.178 0.338
F 0.927 0.589 0.749
F 0.942 0.192 0.750

=====

Material: LuPaTlZn
Method: DFT, PBE
State: relaxed

Calculated values
Its formation energy is 5.9 kJ per mole of atoms. The crystal system is cubic. The total moment comes out at 0.99 μB per formula unit.

Cell lengths 5.175, 5.175, 5.175 Å; angles 60.00, 60.00, 60.00 degrees
Positions (direct):
Lu 0.000 0.000 0.000
Pa 0.500 0.500 0.500
Tl 0.250 0.250 0.250
Zn 0.750 0.750 0.750

=====

Material: Ho2Ga4Fe13C2
Method: DFT, PBE
State: relaxed

Calculated values
Its formation energy is -8.6 kJ per mole of atoms. The crystal system is triclinic. The total moment comes out at 24.56 μB per formula unit.

Cell lengths 6.509, 6.522, 6.616 Å; angles 83.16, 82.37, 82.28 degrees
Positions (direct):
Ho 0.000 0.000 0.000
Ho 0.331 0.326 0.330
Ga 0.314 0.322 0.801
Ga 0.326 0.814 0.337
Ga 0.517 0.991 0.992
Ga 0.840 0.325 0.330
Fe 0.005 0.520 0.002
Fe 0.011 0.007 0.533
Fe 0.160 0.669 0.670
Fe 0.379 0.656 0.954
Fe 0.379 0.949 0.664
Fe 0.572 0.570 0.573
Fe 0.666 0.375 0.953
Fe 0.671 0.167 0.663
Fe 0.671 0.659 0.164
Fe 0.675 0.953 0.380
Fe 0.763 0.758 0.756
Fe 0.949 0.380 0.670
Fe 0.957 0.671 0.379
C 0.157 0.651 0.157
C 0.663 0.164 0.166

=====

Material: LaPuN
Method: DFT, PBE
State: relaxed

Calculated values
The crystal system is trigonal. The calculation puts the energy relative to the elements, uncorrected at -0.75 eV per atom. The total moment comes out at 5.54 μB per formula unit. As for the distance to the lowest polymorph of the same formula: 0.000 eV per atom.

Cell lengths 3.512, 3.512, 6.517 Å; angles 90.00, 90.00, 120.00 degrees
Positions (direct):
La 0.000 0.000 0.000
Pu 0.667 0.333 0.562
N 0.333 0.667 0.750

=====

Material: Zn2Pd2Pt
Method: DFT, PBE
State: relaxed

Calculated values
Its formation energy is -34.1 kJ per mole of atoms. The crystal system is tetragonal. The total moment comes out at 0.00 μB per formula unit. As for the distance to the lowest polymorph of the same formula: 0.054 eV per atom.

Cell lengths 7.121, 7.121, 2.957 Å; angles 90.00, 90.00, 90.00 degrees
Positions (direct):
Zn 0.143 0.357 0.000
Zn 0.357 0.857 0.000
Zn 0.643 0.143 0.000
Zn 0.857 0.643 0.000
Pd 0.155 0.655 0.500
Pd 0.345 0.155 0.500
Pd 0.655 0.845 0.500
Pd 0.845 0.345 0.500
Pt 0.000 0.000 0.000
Pt 0.500 0.500 0.000

=====

Material: Zn5GaIr4
Method: DFT, PBE
State: relaxed

Calculated values
Its formation energy is -19.1 kJ per mole of atoms. The crystal system is monoclinic. The total moment comes out at 0.00 μB per formula unit.

Cell lengths 6.837, 6.837, 5.293 Å; angles 105.61, 105.61, 36.56 degrees
Positions (direct):
Zn 0.000 0.000 0.000
Zn 0.203 0.203 0.304
Zn 0.395 0.395 0.091
Zn 0.605 0.605 0.909
Zn 0.797 0.797 0.696
Ga 0.000 0.000 0.500
Ir 0.197 0.197 0.797
Ir 0.406 0.406 0.604
Ir 0.594 0.594 0.396
Ir 0.803 0.803 0.203

=====

Material: PmNd5Al2
Method: DFT, PBE
State: relaxed

Calculated values
Its formation energy is -6.5 kJ per mole of atoms. The crystal system is orthorhombic. The total moment comes out at 0.00 μB per formula unit. As for the distance to the lowest polymorph of the same formula: 0.000 eV per atom.

Cell lengths 8.401, 8.401, 8.401 Å; angles 154.50, 100.85, 84.79 degrees
Positions (direct):
Pm 0.000 0.000 0.000
Nd 0.140 0.358 0.782
Nd 0.424 0.642 0.782
Nd 0.500 0.000 0.500
Nd 0.576 0.358 0.218
Nd 0.860 0.642 0.218
Al 0.226 0.726 0.500
Al 0.774 0.274 0.500

=====

Material: V4FePt
Method: DFT, PBE
State: relaxed

Calculated values
Its formation energy is 20.3 kJ per mole of atoms. The crystal system is triclinic. The total moment comes out at 0.00 μB per formula unit.

Cell lengths 3.614, 4.354, 5.923 Å; angles 98.13, 90.08, 90.02 degrees
Positions (direct):
V 0.000 0.044 0.263
V 0.000 0.956 0.737
V 0.499 0.483 0.700
V 0.501 0.517 0.300
Fe 0.500 0.000 0.500
Pt 0.000 0.500 0.000

=====

Material: NdZrZn
Method: DFT, PBE
State: relaxed

Calculated values
Its formation energy is 6.5 kJ per mole of atoms. The crystal system is trigonal. The total moment comes out at 0.00 μB per formula unit. As for the distance to the lowest polymorph of the same formula: 0.165 eV per atom.

Cell lengths 4.924, 4.924, 3.530 Å; angles 90.00, 90.00, 120.00 degrees
Positions (direct):
Nd 0.000 0.000 0.000
Zr 0.333 0.667 0.505
Zn 0.667 0.333 0.489

=====

Material: Ac3YTl3S8
Method: DFT, PBE
State: relaxed

Calculated values
The crystal system is trigonal. The calculation puts the energy relative to the elements, uncorrected at -1.48 eV per atom. The total moment comes out at 0.00 μB per formula unit.

Cell lengths 8.822, 8.822, 8.822 Å; angles 59.09, 59.09, 59.09 degrees
Positions (direct):
Ac 0.000 0.500 0.500
Ac 0.500 0.000 0.500
Ac 0.500 0.500 0.000
Y 0.000 0.000 0.000
Tl 0.000 0.000 0.500
Tl 0.000 0.500 0.000
Tl 0.500 0.000 0.000
S 0.224 0.224 0.758
S 0.224 0.758 0.224
S 0.242 0.776 0.776
S 0.261 0.261 0.261
S 0.739 0.739 0.739
S 0.758 0.224 0.224
S 0.776 0.242 0.776
S 0.776 0.776 0.242

=====

Material: VTcB
Method: DFT, PBE
State: relaxed

Calculated values
Its formation energy is -7.3 kJ per mole of atoms. The crystal system is orthorhombic. The total moment comes out at 0.00 μB per formula unit. As for the distance to the lowest polymorph of the same formula: 0.454 eV per atom.

Cell lengths 6.422, 6.422, 6.422 Å; angles 154.52, 141.17, 47.02 degrees
Positions (direct):
V 0.178 0.178 0.000
V 0.822 0.822 0.000
Tc 0.391 0.391 0.000
Tc 0.609 0.609 0.000
B 0.203 0.000 0.203
B 0.797 0.000 0.797

=====

Material: YGe3Rh5
Method: DFT, PBE
State: relaxed

Calculated values
Its formation energy is -53.0 kJ per mole of atoms. The crystal system is orthorhombic. The total moment comes out at 0.00 μB per formula unit.

Cell lengths 6.699, 6.699, 12.067 Å; angles 90.00, 90.00, 144.87 degrees
Positions (direct):
Y 0.192 0.808 0.750
Y 0.808 0.192 0.250
Ge 0.103 0.897 0.250
Ge 0.384 0.616 0.055
Ge 0.384 0.616 0.445
Ge 0.616 0.384 0.555
Ge 0.616 0.384 0.945
Ge 0.897 0.103 0.750
Rh 0.000 0.000 0.000
Rh 0.000 0.000 0.500
Rh 0.200 0.800 0.072
Rh 0.200 0.800 0.428
Rh 0.441 0.559 0.640
Rh 0.441 0.559 0.860
Rh 0.559 0.441 0.140
Rh 0.559 0.441 0.360
Rh 0.800 0.200 0.572
Rh 0.800 0.200 0.928

=====

Material: Ba3Tm2O5F2
Method: DFT, PBE
State: relaxed

Calculated values
The crystal system is tetragonal. The calculation puts the energy relative to the elements, uncorrected at -3.34 eV per atom. The total moment comes out at 0.00 μB per formula unit.

Cell lengths 11.720, 11.720, 11.720 Å; angles 158.47, 158.47, 30.63 degrees
Positions (direct):
Ba 0.000 0.000 0.000
Ba 0.176 0.176 0.000
Ba 0.824 0.824 0.000
Tm 0.406 0.406 0.000
Tm 0.594 0.594 0.000
O 0.106 0.606 0.500
O 0.394 0.894 0.500
O 0.500 0.500 0.000
O 0.606 0.106 0.500
O 0.894 0.394 0.500
F 0.296 0.296 0.000
F 0.704 0.704 0.000

=====

Material: PmSm4Cd3
Method: DFT, PBE
State: relaxed

Calculated values
Its formation energy is -17.6 kJ per mole of atoms. The crystal system is orthorhombic. The total moment comes out at 0.04 μB per formula unit.

Cell lengths 3.777, 5.517, 11.175 Å; angles 90.00, 90.00, 90.00 degrees
Positions (direct):
Pm 0.000 0.000 0.000
Sm 0.500 0.000 0.265
Sm 0.500 0.000 0.735
Sm 0.500 0.500 0.000
Sm 0.500 0.500 0.500
Cd 0.000 0.000 0.500
Cd 0.000 0.500 0.248
Cd 0.000 0.500 0.752

=====

Material: LiMgF3
Method: DFT, PBE
State: relaxed

Calculated values
The crystal system is trigonal. The calculation puts the energy relative to the elements, uncorrected at -3.19 eV per atom. The total moment comes out at 0.00 μB per formula unit. As for the distance to the lowest polymorph of the same formula: 0.004 eV per atom.

Cell lengths 5.363, 5.363, 2.705 Å; angles 90.00, 90.00, 120.00 degrees
Positions (direct):
Li 0.000 0.000 0.000
Mg 0.333 0.667 0.998
F 0.171 0.828 0.498
F 0.172 0.343 0.498
F 0.657 0.829 0.498

=====

Material: DyGa5Rh6
Method: DFT, PBE
State: relaxed

Calculated values
Its formation energy is -71.1 kJ per mole of atoms. The crystal system is monoclinic. The total moment comes out at 0.00 μB per formula unit.

Cell lengths 4.319, 6.388, 6.833 Å; angles 90.00, 108.34, 90.00 degrees
Positions (direct):
Dy 0.000 0.000 0.000
Ga 0.000 0.500 0.000
Ga 0.332 0.000 0.665
Ga 0.334 0.500 0.669
Ga 0.666 0.500 0.331
Ga 0.668 0.000 0.335
Rh 0.173 0.259 0.346
Rh 0.173 0.741 0.346
Rh 0.500 0.273 0.000
Rh 0.500 0.727 0.000
Rh 0.827 0.259 0.654
Rh 0.827 0.741 0.654

=====

Material: Nd5SmHo3
Method: DFT, PBE
State: relaxed

Calculated values
Its formation energy is 26.8 kJ per mole of atoms. The crystal system is monoclinic. The total moment comes out at 0.00 μB per formula unit. As for the distance to the lowest polymorph of the same formula: 0.000 eV per atom.

Cell lengths 10.579, 10.579, 11.741 Å; angles 120.91, 120.91, 34.45 degrees
Positions (direct):
Nd 0.032 0.692 0.348
Nd 0.102 0.898 0.750
Nd 0.139 0.500 0.667
Nd 0.308 0.968 0.152
Nd 0.500 0.139 0.167
Nd 0.500 0.861 0.833
Nd 0.692 0.032 0.848
Nd 0.861 0.500 0.333
Nd 0.898 0.102 0.250
Nd 0.968 0.308 0.652
Sm 0.383 0.617 0.250
Sm 0.617 0.383 0.750
Ho 0.107 0.537 0.968
Ho 0.463 0.893 0.532
Ho 0.500 0.500 0.000
Ho 0.500 0.500 0.500
Ho 0.537 0.107 0.468
Ho 0.893 0.463 0.032

=====

Material: Bi2TeAsH
Method: DFT, PBE
State: relaxed

Calculated values
The crystal system is tetragonal. The total moment comes out at 0.00 μB per formula unit. The calculation puts the energy at -3.596 eV per atom.

Cell lengths 5.797, 5.797, 3.720 Å; angles 90.00, 90.00, 90.00 degrees
Positions (direct):
Bi 0.000 0.500 0.000
Bi 0.500 0.000 0.000
Te 0.000 0.000 0.500
As 0.500 0.500 0.000
H 0.500 0.500 0.500